A relaxed structure of K2ScSnSe4, computed with PBE-GGA.

a b c (Å): 8.2278 8.2278 7.2075
angles (deg): 90.00 90.00 90.00
Space group I-42m (No. 121)
Symmetry-distinct sites (fractional):
K  0.0000  0.5000  0.0000 [4 per cell]
Sc  0.0000  0.0000  0.0000 [2 per cell]
Sn  0.0000  0.0000  0.5000 [2 per cell]
Se  0.1690  0.1690  0.2384 [8 per cell]

Output
Crystal system ... tetragonal
E_form (uncorrected) ... -1077.1 meV/atom
Final energy ... -4.3856 eV per atom